[1]
La2CeNdSe4, optimized geometry, DFT PBE; E_form (uncorrected) = -1.917 eV per atom
1.0
4.254 0.000 0.000
0.000 7.392 0.133
0.000 -2.577 6.944
La Ce Nd Se
2 1 1 4
direct
0.500 0.000 0.500 La
0.000 0.500 0.500 La
0.500 0.500 0.000 Ce
0.000 0.000 0.000 Nd
0.500 0.249 0.244 Se
0.500 0.751 0.756 Se
0.000 0.253 0.757 Se
0.000 0.747 0.243 Se

=====

[2]
ErTm2U2Ru5, optimized geometry, DFT PBE; ΔH_f (0 K) = -302 meV per atom
1.0
-3.098 -1.818 0.133
4.026 -7.328 -6.372
3.494 -5.342 8.352
Er Tm U Ru
2 4 4 10
direct
0.000 0.000 0.000 Er
0.000 0.500 0.500 Er
0.000 0.673 0.173 Tm
0.000 0.327 0.827 Tm
0.000 0.173 0.327 Tm
0.000 0.827 0.673 Tm
0.000 0.135 0.635 U
0.000 0.865 0.365 U
0.000 0.635 0.865 U
0.000 0.365 0.135 U
0.500 0.211 0.054 Ru
0.500 0.789 0.946 Ru
0.500 0.054 0.789 Ru
0.500 0.711 0.446 Ru
0.500 0.946 0.211 Ru
0.500 0.289 0.554 Ru
0.500 0.554 0.711 Ru
0.500 0.446 0.289 Ru
0.500 0.500 0.000 Ru
0.500 0.000 0.500 Ru

=====

[3]
Ce3C, optimized geometry, DFT PBE; ΔH_f (0 K) = -31 meV per atom; distance to the lowest polymorph of the same formula = 0.0000 eV/atom
1.0
-2.228 -2.434 -1.514
2.764 -2.332 -0.318
-1.750 -0.249 7.329
C Ce
1 3
direct
0.000 0.000 0.000 C
0.500 0.500 0.000 Ce
0.168 0.168 0.336 Ce
0.832 0.832 0.664 Ce

=====

[4]
LiUOsRh, optimized geometry, DFT PBE; ΔH_f (0 K) = -129 meV per atom
1.0
4.539 0.000 0.000
2.270 3.931 0.000
2.270 1.310 3.706
Os U Rh Li
1 1 1 1
direct
0.000 0.000 0.000 Os
0.250 0.250 0.250 U
0.500 0.500 0.500 Rh
0.750 0.750 0.750 Li